# 1
Density functional theory data (PBEsol) for a geometry-optimized Ho2B6Rh9 structure.

Cell lengths 5.522, 5.522, 8.477 Å; angles 90.00, 90.00, 120.00 degrees
Atoms (fractional coordinates):
B1 0.333 0.667 0.667
B2 0.333 0.667 0.333
B3 0.667 0.333 0.333
B4 0.333 0.667 0.000
B5 0.667 0.333 0.000
B6 0.667 0.333 0.667
Rh1 0.500 0.500 0.836
Rh2 0.500 0.000 0.164
Rh3 0.000 0.500 0.500
Rh4 0.000 0.500 0.836
Rh5 0.500 0.500 0.500
Rh6 0.500 0.500 0.164
Rh7 0.500 0.000 0.500
Rh8 0.000 0.500 0.164
Rh9 0.500 0.000 0.836
Ho1 0.000 0.000 0.295
Ho2 0.000 0.000 0.705

Values from the calculation:
Calculated formation energy = -0.66 eV/atom
Calculated total energy = -136.52 eV per cell
Crystal system = hexagonal


# 2
Density functional theory data (PBEsol) for a geometry-optimized BeZnBr2 structure.

Cell lengths 3.203, 3.203, 7.813 Å; angles 90.00, 90.00, 90.00 degrees
Atoms (fractional coordinates):
Br1 0.000 0.000 0.923
Br2 0.500 0.500 0.304
Zn1 0.000 0.000 0.505
Be1 0.500 0.500 0.768

Values from the calculation:
Formation energy without anion corrections = 0.1949 eV/atom
Calculated total energy = -8.54 eV per cell
Crystal system = tetragonal


# 3
Density functional theory data (PBEsol) for a geometry-optimized Zr2SiMo structure.

Cell lengths 2.844, 2.844, 8.703 Å; angles 90.00, 90.00, 90.00 degrees
Atoms (fractional coordinates):
Mo1 0.500 0.500 0.000
Zr1 0.000 0.000 0.271
Zr2 0.000 0.000 0.729
Si1 0.500 0.500 0.500

Values from the calculation:
Formation energy without anion corrections = -0.1061 eV/atom
Calculated total energy = -36.12 eV per cell
Crystal system = tetragonal


# 4
Density functional theory data (PBEsol) for a geometry-optimized LiCoAg2 structure.

Cell lengths 2.656, 2.656, 8.949 Å; angles 90.00, 90.00, 112.37 degrees
Atoms (fractional coordinates):
Li1 0.500 0.500 0.263
Co1 0.000 0.000 0.492
Ag1 0.000 0.000 0.009
Ag2 0.500 0.500 0.735

Values from the calculation:
Calculated formation energy = 0.23 eV/atom
Calculated total energy = -15.40 eV per cell
Crystal system = orthorhombic


# 5
Density functional theory data (PBEsol) for a geometry-optimized CrWSe structure.

Cell lengths 4.118, 4.118, 4.118 Å; angles 60.00, 60.00, 60.00 degrees
Atoms (fractional coordinates):
Se1 0.500 0.500 0.500
W1 0.750 0.750 0.750
Cr1 0.000 0.000 0.000

Values from the calculation:
Formation energy without anion corrections = 0.7324 eV/atom
Calculated total energy = -25.70 eV per cell
Crystal system = cubic


# 6
Density functional theory data (PBEsol) for a geometry-optimized Ta2CuRe2 structure.

Cell lengths 4.200, 4.200, 6.154 Å; angles 109.95, 109.95, 90.00 degrees
Atoms (fractional coordinates):
Re1 0.613 0.613 0.227
Re2 0.387 0.387 0.773
Ta1 0.750 0.250 0.500
Ta2 0.250 0.750 0.500
Cu1 0.000 0.000 0.000

Values from the calculation:
Calculated formation energy = 0.88 eV/atom
Calculated total energy = -51.71 eV per cell
Crystal system = tetragonal


# 7
Density functional theory data (PBEsol) for a geometry-optimized BeIrPb2 structure.

Cell lengths 3.568, 4.640, 4.640 Å; angles 89.96, 90.00, 90.00 degrees
Atoms (fractional coordinates):
Pb1 0.000 0.000 0.500
Pb2 0.000 0.500 0.000
Be1 0.500 0.000 0.000
Ir1 0.500 0.500 0.500

Values from the calculation:
Calculated formation energy = 0.68 eV/atom
Calculated total energy = -19.09 eV per cell
Crystal system = tetragonal


# 8
Density functional theory data (PBEsol) for a geometry-optimized NaInIrC2 structure.

Cell lengths 4.304, 4.304, 5.069 Å; angles 90.00, 90.00, 90.00 degrees
Atoms (fractional coordinates):
C1 0.000 0.500 0.000
C2 0.500 0.000 0.000
Ir1 0.000 0.000 0.500
In1 0.000 0.000 0.000
Na1 0.500 0.500 0.500

Values from the calculation:
Calculated formation energy = 2.62 eV/atom
Calculated total energy = -20.37 eV per cell
Crystal system = tetragonal